KGdMg2 PBE relaxed; uncorrected energy = -4.48 eV/atom; symmetry = P4/mmm, No. 123; total moment = 1.974 μB per atom; energy of formation from the pure elements = 10.9 kJ/mol of atoms; calculated density = 3.011 g/cm3
1.0
3.6394 0.0000 0.0000
0.0000 3.6394 0.0000
0.0000 0.0000 10.1990
K Gd Mg
1 1 2
Direct
0.5000 0.5000 0.5000
0.5000 0.5000 0.0000
0.0000 0.0000 0.7908
0.0000 0.0000 0.2092